A plane-wave DFT calculation with PBE-GGA was carried out for a relaxed structure of PuUAlIr.

Results
The calculation puts the formation energy from the elements at -372.3 meV per atom. As for the density of states at the Fermi level: 5.51 states/eV/f.u. Its total energy is -9.928 eV per atom. The space group is F-43m, No. 216.

```
PuUAlIr
1.0
6.733 0.000 0.000
0.000 6.733 0.000
0.000 0.000 6.733
Pu U Al Ir
4 4 4 4
direct
0.000 0.000 0.000
0.000 0.500 0.500
0.500 0.000 0.500
0.500 0.500 0.000
0.250 0.250 0.250
0.250 0.750 0.750
0.750 0.250 0.750
0.750 0.750 0.250
0.250 0.250 0.750
0.250 0.750 0.250
0.750 0.250 0.250
0.750 0.750 0.750
0.000 0.000 0.500
0.000 0.500 0.000
0.500 0.000 0.000
0.500 0.500 0.500
```